1.
12
Lattice="5.555 0.000 0.000 2.777 4.811 0.000 2.777 1.604 7.134" Properties=species:S:1:pos:R:3 comment="NaHg2P2O7 | the Alexandria database | PBE-GGA | relaxed" vol_a3_per_cell=191 pbc="T T T"
Na 5.555 3.207 3.567
Hg 8.332 4.811 5.971
Hg 2.777 1.604 1.162
P 8.332 4.811 1.600
P 2.777 1.604 5.533
O 4.253 4.697 2.023
O 4.916 1.334 2.023
O 7.496 3.590 2.023
O 4.253 1.717 5.110
O 7.496 2.824 5.110
O 0.000 0.000 0.000
O 4.916 5.080 5.110

***

2.
14
Lattice="5.644 0.000 0.000 -2.477 5.072 0.000 0.000 0.000 6.546" Properties=species:S:1:pos:R:3 comment="NaHgPO4 | the Alexandria database | PBE-GGA | relaxed" vol_a3_per_cell=187 pbc="T T T"
Na 1.584 2.536 0.000
Na 1.584 2.536 3.273
Hg 4.116 0.954 1.636
Hg -0.949 4.118 4.909
P -1.347 4.366 1.636
P 4.514 0.706 4.909
O 2.108 4.233 4.909
O 1.059 0.839 1.636
O 2.879 3.752 1.636
O 0.289 1.320 4.909
O 3.651 1.245 6.118
O -0.484 3.827 2.845
O 3.651 1.245 3.701
O -0.484 3.827 0.428

***

Q: Which magnetic moment values were calculated for the entries above? A: 0.0, 0.0, in μB per cell.
Q: Which formation energy without anion corrections values were calculated for the entries above? A: -1.5571, -1.7112, in eV/atom.